#i
Below is a geometry-optimized Tm7Sb2Pd2 structure, with properties calculated at the GGA-PBE level.

Unit cell a=9.276 b=9.276 c=9.276 alpha=155.34 beta=67.74 gamma=118.03
Atoms (fractional coordinates):
1 Tm 0.000 0.000 0.000
2 Tm 0.294 0.417 0.877
3 Tm 0.313 0.628 0.685
4 Tm 0.540 0.417 0.123
5 Tm 0.626 0.268 0.358
6 Tm 0.909 0.268 0.642
7 Tm 0.943 0.628 0.315
8 Sb 0.257 0.757 0.500
9 Sb 0.669 0.669 0.000
10 Pd 0.171 0.933 0.238
11 Pd 0.696 0.933 0.762

---

#ii
Below is a geometry-optimized Tm7Sb2Pd2 structure, with properties calculated at the GGA-PBE level.

Unit cell a=6.836 b=6.836 c=6.897 alpha=90.00 beta=90.00 gamma=101.65
Atoms (fractional coordinates):
1 Tm 0.000 0.000 0.000
2 Tm 0.000 0.500 0.251
3 Tm 0.000 0.500 0.749
4 Tm 0.500 0.000 0.251
5 Tm 0.500 0.000 0.749
6 Tm 0.500 0.500 0.241
7 Tm 0.500 0.500 0.759
8 Sb 0.200 0.200 0.500
9 Sb 0.800 0.800 0.500
10 Pd 0.280 0.720 0.000
11 Pd 0.720 0.280 0.000

---

Each structure's energy above the most stable one, in meV per atom: #i 0; #ii 217.